Density functional theory data (GGA-PBE) for a relaxed BaTl2InF6 crystal.

It has space group Pmmn (No. 59, origin choice 2), with a = 6.506 Å, b = 9.497 Å, c = 7.222 Å, α = 90.00°, β = 90.00° and γ = 90.00°. The inequivalent atoms are Ba at (0.250, 0.250, 0.195), Tl at (0.250, 0.041, 0.671), In at (0.250, 0.750, 0.287), F at (0.005, 0.750, 0.077), F at (0.010, 0.250, 0.496) and F at (0.250, 0.512, 0.299).

The total energy comes out at -0.3301 Ry per atom. As for the density of states at the Fermi level: 6.3 states/eV/cell. The calculation puts the formation energy (no corrections) at -2.430 eV/atom. For the density, the calculation gives 5767 kg/m³.


Density functional theory data (GGA-PBE) for a relaxed BaUIn2F8 crystal.

It has space group Pmmm (No. 47), with a = 4.156 Å, b = 6.700 Å, c = 8.448 Å, α = 90.00°, β = 90.00° and γ = 90.00°. The inequivalent atoms are Ba at (0.000, 0.000, 0.000), U at (0.000, 0.000, 0.500), In at (0.500, 0.500, 0.241), F at (0.000, 0.201, 0.289), F at (0.500, 0.181, 0.500) and F at (0.500, 0.248, 0.000).

The total energy comes out at -0.4284 Ry per atom. As for the density of states at the Fermi level: 3.4 states/eV/cell. The calculation puts the formation energy (no corrections) at -3.024 eV/atom. For the density, the calculation gives 5344 kg/m³.